This record from Alexandria via LeMat-Bulk describes Li7Ag2Pb3 after structural relaxation. The functional is PBE.

Output
Calculated formation energy ... -0.165 eV/atom
Total DFT energy (no corrections) ... -2.68 eV/atom

abc: 4.7568 3.6261 14.2134
angles: 90.00 99.41 90.00
Last column: nearest neighbours and their distance in Å.
Space group P2/m (No. 10)
Asymmetric unit:
Li1 0.0000 0.0000 0.0000 (multiplicity 1)  4 Pb 2.99, 8 Li 2.99-3.24
Li2 0.0985 0.5000 0.1699 (multiplicity 2)  2 Ag 2.86-2.91, 6 Li 2.98-3.02, 2 Pb 3.09
Li3 0.2664 0.5000 0.5315 (multiplicity 2)  2 Li 2.53-2.55, 1 Ag 2.56
Li4 0.4151 0.0000 0.8463 (multiplicity 2)  2 Ag 2.59, 2 Pb 2.82
Ag1 0.3389 0.5000 0.7140 (multiplicity 2)  4 Li 2.56-2.86
Pb1 0.1902 0.0000 0.3482 (multiplicity 2)  6 Li 3.09-3.38, 4 Ag 3.11-3.12
Pb2 0.5000 0.5000 0.0000 (multiplicity 1)  8 Li 2.82-2.99